(1)
A plane-wave DFT calculation with PBE was carried out for crystalline PaCuTe at its relaxed geometry.

Computed properties:
- VASP energy: -0.4245 Ry/atom
- DOS at the Fermi energy: 4.3 states/eV/f.u.
- Crystal system: triclinic
- Symmetry: P-1, No. 2
- Formation energy from raw total energies: -0.197 eV/atom
- Size of the total moment: 0.032 μB/cell

The structure in POSCAR format:
```
PaCuTe
1.0
3.929 0.000 0.000
0.018 4.619 0.000
1.716 2.240 7.768
Pa Cu Te
2 2 2
direct
0.182 0.184 0.158 Pa
0.818 0.816 0.842 Pa
0.246 0.839 0.505 Cu
0.754 0.161 0.495 Cu
0.356 0.356 0.757 Te
0.644 0.644 0.243 Te
```


(2)
A plane-wave DFT calculation with PBE was carried out for crystalline PaCuTe3 at its relaxed geometry.

Computed properties:
- VASP energy: -0.3760 Ry/atom
- DOS at the Fermi energy: 1.6 states/eV/f.u.
- Crystal system: monoclinic
- Symmetry: P2_1/m, No. 11
- Formation energy from raw total energies: -0.512 eV/atom
- Size of the total moment: 0.276 μB/cell

The structure in POSCAR format:
```
PaCuTe3
1.0
7.569 0.000 0.000
0.000 4.176 0.000
-0.667 0.000 8.665
Pa Cu Te
2 2 6
direct
0.129 0.250 0.276 Pa
0.871 0.750 0.724 Pa
0.359 0.750 0.831 Cu
0.641 0.250 0.169 Cu
0.122 0.250 0.893 Te
0.218 0.750 0.534 Te
0.399 0.750 0.158 Te
0.601 0.250 0.842 Te
0.782 0.250 0.466 Te
0.878 0.750 0.107 Te
```